(1)
Density functional theory data (PBE) for a relaxed structure of Pr2Y5Ho12.

Results
Excess energy over the best structure of this formula in the dataset   0 meV/atom
ΔH_f (0 K)   0.064 eV/atom
Magnetic moment   0.000 μB per cell
Crystal system   triclinic

Structure (extended XYZ):
```
19
Lattice="5.958 1.602 -1.028 -1.480 7.425 -9.435 -0.072 -3.170 17.007" Properties=species:S:1:pos:R:3 pbc="T T T"
Pr 4.254 -1.556 15.598
Pr 0.152 7.414 -9.054
Y 1.092 3.427 4.537
Y 0.254 4.889 -3.734
Y -0.036 -1.585 8.504
Y 4.152 0.969 10.278
Y 3.315 2.431 2.007
Ho 0.792 0.184 3.730
Ho 0.755 1.583 9.912
Ho 3.402 3.715 8.536
Ho -0.307 2.965 1.204
Ho 2.080 5.092 -0.417
Ho 1.666 -1.208 11.720
Ho 2.740 7.066 -5.176
Ho 4.713 2.893 5.341
Ho 2.326 0.766 6.961
Ho 3.651 4.275 -3.368
Ho 1.004 2.143 -1.992
Ho 3.614 5.674 2.814
```

=====

(2)
Density functional theory data (PBE) for a relaxed structure of Pr2Y5Ho2.

Results
Excess energy over the best structure of this formula in the dataset   10 meV/atom
ΔH_f (0 K)   0.234 eV/atom
Magnetic moment   0.000 μB per cell
Crystal system   monoclinic

Structure (extended XYZ):
```
9
Lattice="-0.224 -2.802 -2.096 7.592 -2.367 2.354 -9.956 -2.489 7.325" Properties=species:S:1:pos:R:3 pbc="T T T"
Pr -0.604 -5.743 4.809
Pr -1.984 -1.916 2.774
Y 2.497 -4.891 3.338
Y -5.085 -2.768 4.244
Y -4.144 -5.841 5.318
Y 1.556 -1.818 2.264
Y 0.000 0.000 0.000
Ho 4.535 -3.506 1.269
Ho -7.123 -4.153 6.313
```

=====

(3)
Density functional theory data (PBE) for a relaxed structure of Pr2YHo5.

Results
Excess energy over the best structure of this formula in the dataset   145 meV/atom
ΔH_f (0 K)   0.168 eV/atom
Magnetic moment   0.000 μB per cell
Crystal system   monoclinic

Structure (extended XYZ):
```
16
Lattice="9.106 0.000 -3.896 -0.997 6.085 -2.329 -0.847 -1.802 10.611" Properties=species:S:1:pos:R:3 pbc="T T T"
Pr 0.424 1.272 7.188
Pr 4.408 4.315 4.106
Pr 6.839 3.010 -2.803
Pr 2.855 -0.032 0.279
Y -0.424 -0.901 5.305
Y 3.631 2.141 2.193
Ho 3.310 1.278 5.536
Ho 7.816 4.564 -5.410
Ho 0.294 1.521 -0.815
Ho 6.970 2.744 1.477
Ho 0.293 1.539 2.909
Ho 5.859 -0.298 3.330
Ho 1.404 4.581 1.056
Ho 3.953 3.005 -1.150
Ho 1.220 4.320 5.052
Ho 6.043 -0.038 -0.666
```

=====

(4)
Density functional theory data (PBE) for a relaxed structure of PrY5Ho2.

Results
Excess energy over the best structure of this formula in the dataset   0 meV/atom
ΔH_f (0 K)   0.137 eV/atom
Magnetic moment   0.000 μB per cell
Crystal system   orthorhombic

Structure (extended XYZ):
```
16
Lattice="-1.484 -5.267 -1.153 3.769 2.909 -4.575 12.976 -5.263 7.343" Properties=species:S:1:pos:R:3 pbc="T T T"
Pr 10.369 -6.455 2.583
Pr 4.892 -1.166 -0.969
Y 13.579 -7.179 1.758
Y 9.489 -5.520 -0.557
Y 8.163 -2.167 -0.607
Y 2.934 -0.046 -3.566
Y 2.773 -3.925 0.798
Y 12.488 -3.697 0.816
Y 7.098 -5.455 2.222
Y 12.327 -7.575 5.180
Y 1.682 -0.442 -0.143
Y 5.772 -2.101 2.171
Ho 5.786 -4.430 -0.771
Ho 2.648 -3.157 -2.547
Ho 9.475 -3.191 2.386
Ho 12.614 -4.464 4.162
```

=====

(5)
Density functional theory data (PBE) for a relaxed structure of Pr5Y12Ho2.

Results
Excess energy over the best structure of this formula in the dataset   0 meV/atom
ΔH_f (0 K)   0.083 eV/atom
Magnetic moment   0.000 μB per cell
Crystal system   triclinic

Structure (extended XYZ):
```
19
Lattice="6.764 0.549 0.512 -3.345 10.577 -9.004 0.841 -5.317 13.153" Properties=species:S:1:pos:R:3 pbc="T T T"
Pr 0.357 3.302 2.280
Pr 0.360 6.453 -1.869
Pr 0.421 -2.659 6.577
Pr 3.900 -0.644 6.530
Pr 3.902 2.507 2.380
Y 6.322 0.238 3.803
Y -0.064 0.887 7.696
Y 2.193 7.373 -4.763
Y -0.796 2.796 -1.002
Y 2.461 3.952 -0.425
Y 4.605 -3.767 10.538
Y -0.346 9.576 -5.878
Y 5.056 3.012 5.663
Y 1.798 1.857 5.085
Y 4.324 4.922 -3.035
Y 2.066 -1.565 9.424
Y -2.063 5.571 0.858
Ho 2.638 5.198 4.395
Ho 1.622 0.611 0.265
```

=====

(6)
Density functional theory data (PBE) for a relaxed structure of Pr2Y3Ho3.

Results
Excess energy over the best structure of this formula in the dataset   134 meV/atom
ΔH_f (0 K)   0.138 eV/atom
Magnetic moment   0.000 μB per cell
Crystal system   orthorhombic

Structure (extended XYZ):
```
16
Lattice="5.614 0.000 0.000 -2.807 5.956 0.000 0.000 0.000 16.046" Properties=species:S:1:pos:R:3 pbc="T T T"
Pr 2.807 3.351 13.976
Pr 0.000 2.605 5.953
Pr 2.807 3.351 10.093
Pr 0.000 2.605 2.070
Y 2.807 1.391 7.213
Y 0.000 4.565 15.236
Y 2.807 1.391 0.811
Y 0.000 4.565 8.834
Y 0.000 5.490 4.012
Y 2.807 0.465 12.035
Ho 2.807 4.993 6.599
Ho 0.000 0.963 14.622
Ho 2.807 4.993 1.425
Ho 0.000 0.963 9.448
Ho 2.807 2.882 4.012
Ho 0.000 3.073 12.035
```

=====

(7)
Density functional theory data (PBE) for a relaxed structure of PrY4Ho6.

Results
Excess energy over the best structure of this formula in the dataset   147 meV/atom
ΔH_f (0 K)   0.462 eV/atom
Magnetic moment   0.000 μB per cell
Crystal system   tetragonal

Structure (extended XYZ):
```
11
Lattice="7.621 0.000 0.000 0.000 7.621 0.000 -3.810 -3.810 6.584" Properties=species:S:1:pos:R:3 pbc="T T T"
Pr 3.810 3.810 0.000
Y -2.541 2.541 5.546
Y 6.351 6.351 1.038
Y 2.541 -2.541 5.546
Y 1.270 1.270 1.038
Ho 5.648 1.973 2.416
Ho 1.973 5.648 2.416
Ho 1.837 1.837 4.168
Ho 0.000 3.810 0.000
Ho -1.837 -1.837 4.168
Ho 3.810 0.000 0.000
```

=====

(8)
Density functional theory data (PBE) for a relaxed structure of Pr2Y4Ho.

Results
Excess energy over the best structure of this formula in the dataset   0 meV/atom
ΔH_f (0 K)   0.051 eV/atom
Magnetic moment   0.000 μB per cell
Crystal system   monoclinic

Structure (extended XYZ):
```
7
Lattice="-1.641 -1.717 -2.681 4.513 4.862 -5.872 4.014 -6.547 4.126" Properties=species:S:1:pos:R:3 pbc="T T T"
Pr 2.398 1.063 -2.144
Pr 4.487 -4.465 -2.283
Y 5.088 -0.936 -2.517
Y 2.952 -4.507 1.079
Y 1.797 -2.466 -1.910
Y 3.934 1.106 -5.506
Ho 0.000 0.000 0.000
```